VASP calculation (PBE) on Sm5HoCd3 after structural relaxation.

The space group is P6_3/mcm (No. 193) and the conventional cell measures 9.3459, 9.3459 and 7.0043 Å, with angles of 90.00, 90.00 and 120.00 degrees. The asymmetric unit holds Sm at (0.0000, 0.3336, 0.2500), Sm at (0.3333, 0.6667, 0.0000), Ho at (0.0000, 0.0000, 0.0000) and Cd at (0.0000, 0.3304, 0.7500).

The energy of formation from the pure elements comes out at -1.609 eV per formula unit. The calculation puts the total DFT energy (no corrections) at -0.133 Ha/atom. Its crystal system is hexagonal.